SiBPN4 after structural relaxation, computed with PBE.

Unit cell a=4.6589 b=5.1247 c=6.4814 alpha=75.67 beta=76.18 gamma=70.02
Closest atoms and distances in Å follow each position.
Atoms (fractional coordinates):
P1 0.2985 0.4401 0.2476  2 N 1.67-1.73
P2 0.4069 0.3426 0.7761  2 N 1.64-1.80
Si1 0.9217 0.4456 0.0946  3 N 1.80-1.97
Si2 0.5140 0.0138 0.4176  3 N 1.74-1.90
B1 0.3540 0.8307 0.8729  3 N 1.50-1.65
B2 0.9428 0.7840 0.6335  4 N 1.51-1.67
N1 0.5924 0.8839 0.6787  2 B 1.50-1.51
N2 0.0763 0.0057 0.4591  1 N 1.31
N3 0.1178 0.6688 0.8291  2 B 1.55-1.69
N4 0.8631 0.1525 0.3398  1 N 1.31
N5 0.0063 0.6002 0.4381  1 N 1.39
N6 0.5274 0.5821 0.0454  1 B 1.60, 1 P 1.67
N7 0.1854 0.1526 0.9242  1 P 1.64, 1 B 1.65
N8 0.7684 0.7091 0.3165  1 N 1.39

Values from the calculation:
* crystal system: triclinic
* raw formation energy: -99 meV/atom


MgSc2SnOs after structural relaxation, computed with PBE.

Unit cell a=4.9930 b=4.7895 c=4.9930 alpha=90.00 beta=90.00 gamma=90.00
Closest atoms and distances in Å follow each position.
Atoms (fractional coordinates):
Sc1 0.0000 0.0000 0.5000  2 Mg 2.50
Sc2 0.5000 0.0000 0.0000  2 Mg 2.50
Mg1 0.0000 0.0000 0.0000  2 Sn 2.39, 4 Sc 2.50
Os1 0.5000 0.5000 0.5000  8 Sc 3.46, 4 Sn 3.53
Sn1 0.0000 0.5000 0.0000  2 Mg 2.39

Values from the calculation:
* crystal system: tetragonal
* VASP energy: -4.563 eV/atom


Be2BiPdI after structural relaxation, computed with PBE.

Unit cell a=4.6295 b=6.1370 c=4.6295 alpha=90.00 beta=90.00 gamma=90.00
Closest atoms and distances in Å follow each position.
Atoms (fractional coordinates):
I1 0.0000 0.0000 0.0000  4 Be 2.31
Be1 0.0000 0.0000 0.5000  2 I 2.31
Be2 0.5000 0.0000 0.0000  2 I 2.31
Bi1 0.0000 0.5000 0.0000  2 I 3.07, 4 Pd 3.27
Pd1 0.5000 0.5000 0.5000  4 Bi 3.27

Values from the calculation:
* crystal system: tetragonal
* raw formation energy: 1473 meV/atom


Ge3Pt2Rh after structural relaxation, computed with PBE.

Unit cell a=6.5901 b=6.5901 c=6.6587 alpha=60.34 beta=60.34 gamma=60.00
Closest atoms and distances in Å follow each position.
Atoms (fractional coordinates):
Ge1 0.9104 0.5896 0.2500  2 Rh 2.57, 4 Pt 2.57-2.62
Ge2 0.2500 0.9104 0.2500  2 Rh 2.57, 4 Pt 2.57-2.62
Ge3 0.7500 0.0896 0.7500  2 Rh 2.57, 4 Pt 2.57-2.62
Ge4 0.4104 0.7500 0.7500  2 Rh 2.57, 4 Pt 2.57-2.62
Ge5 0.0896 0.4104 0.7500  2 Rh 2.57, 4 Pt 2.57-2.62
Ge6 0.5896 0.2500 0.2500  2 Rh 2.57, 4 Pt 2.57-2.62
Pt1 0.1673 0.1673 0.4982  6 Ge 2.57-2.62, 1 Pt 2.71, 1 Rh 2.74
Pt2 0.3327 0.3327 0.0018  6 Ge 2.57-2.62, 1 Pt 2.71, 1 Rh 2.74
Pt3 0.8327 0.8327 0.5018  6 Ge 2.57-2.62, 1 Pt 2.71, 1 Rh 2.74
Pt4 0.6673 0.6673 0.9982  6 Ge 2.57-2.62, 1 Pt 2.71, 1 Rh 2.74
Rh1 0.5000 0.5000 0.5000  6 Ge 2.57, 2 Pt 2.74
Rh2 0.0000 0.0000 0.0000  6 Ge 2.57, 2 Pt 2.74

Values from the calculation:
* crystal system: trigonal
* VASP energy: -6.017 eV/atom


MnIn2Ru after structural relaxation, computed with PBE.

Unit cell a=4.6003 b=4.6003 c=4.6003 alpha=60.00 beta=60.00 gamma=60.00
Closest atoms and distances in Å follow each position.
Atoms (fractional coordinates):
Ru1 0.5000 0.5000 0.5000  8 In 2.82
Mn1 0.0000 0.0000 0.0000  8 In 2.82
In1 0.2500 0.2500 0.2500  4 Ru 2.82, 4 Mn 2.82
In2 0.7500 0.7500 0.7500  4 Ru 2.82, 4 Mn 2.82

Values from the calculation:
* crystal system: cubic
* VASP energy: -5.853 eV/atom


Sr3LiPd after structural relaxation, computed with PBE.

Unit cell a=4.3246 b=8.8212 c=10.8197 alpha=64.58 beta=101.54 gamma=89.99
Closest atoms and distances in Å follow each position.
Atoms (fractional coordinates):
Sr1 0.5157 0.5456 0.2223  2 Pd 3.26, 4 Li 3.45
Sr2 0.5176 0.0455 0.2223  4 Li 4.01-4.02, 10 Sr 4.04-4.47
Sr3 0.8635 0.9094 0.9178  2 Pd 3.20
Sr4 0.3068 0.3484 0.8049  3 Pd 3.21-3.23, 3 Li 3.48-3.57
Sr5 0.7245 0.7425 0.6397  3 Pd 3.21-3.23, 3 Li 3.48-3.57
Sr6 0.1685 0.1816 0.5266  2 Pd 3.20
Pd1 0.6851 0.4288 0.5600  2 Li 2.72
Pd2 0.3465 0.6620 0.8847  2 Li 2.72
Li1 0.1247 0.6271 0.4390  2 Pd 2.72
Li2 0.9067 0.4638 0.0058  2 Pd 2.72

Values from the calculation:
* crystal system: triclinic
* VASP energy: -2.697 eV/atom